Density functional theory data (GGA-PBE) for an optimized crystal structure of V2TcPd2.

Cell: 6.1888 6.1888 3.9019 Å, 90.00 90.00 90.00°
Positions (direct):
Tc  0.5000  0.5000  0.0000
Tc  0.0000  0.0000  0.0000
V  0.3628  0.8628  0.0000
V  0.6372  0.1372  0.0000
V  0.1372  0.3628  0.0000
V  0.8628  0.6372  0.0000
Pd  0.6614  0.8386  0.5000
Pd  0.3386  0.1614  0.5000
Pd  0.8386  0.3386  0.5000
Pd  0.1614  0.6614  0.5000

Output
Its magnetic moment is 0.00 μB per formula unit. As for the symmetry: P4/mbm. For the energy of formation, the calculation gives 0.077 eV per atom. The polymorph energy (0 for the lowest one) is 0.000 eV/atom.



Density functional theory data (GGA-PBE) for an optimized crystal structure of V3TcPd.

Cell: 4.4880 4.4880 4.4880 Å, 90.00 90.00 90.00°
Positions (direct):
Tc  0.0000  0.0000  0.0000
V  0.5000  0.0000  0.0000
V  0.0000  0.5000  0.0000
V  0.0000  0.0000  0.5000
Pd  0.5000  0.5000  0.5000

Output
Its magnetic moment is 0.00 μB per formula unit. As for the symmetry: Pm-3m. For the energy of formation, the calculation gives 1.034 eV per atom. The polymorph energy (0 for the lowest one) is 0.000 eV/atom.



Density functional theory data (GGA-PBE) for an optimized crystal structure of VTc2Pd.

Cell: 3.9540 3.8072 3.8072 Å, 90.00 90.00 90.00°
Positions (direct):
Pd  0.5000  0.0000  0.0000
Tc  0.0000  0.0000  0.5000
Tc  0.0000  0.5000  0.0000
V  0.5000  0.5000  0.5000

Output
Its magnetic moment is 0.00 μB per formula unit. As for the symmetry: P4/mmm. For the energy of formation, the calculation gives -0.071 eV per atom. The polymorph energy (0 for the lowest one) is 0.000 eV/atom.



Q: Number 2 is which compound?
A: V3TcPd



Q: Which formula does entry 1 have?
A: V2TcPd2